[1]
Material: Al2SnB
Method: DFT, PBE
State: optimized geometry

The calculation puts the energy above the most stable polymorph in this dataset at 0.0000 eV per atom. As for the energy of formation from the pure elements: 10.12 kcal/mol of atoms. Its density of states at the Fermi level is 2.2 states/eV per cell. The space-group type is I-42d.

POSCAR file:
```
Al2SnB
1.0
6.076 0.000 0.000
0.000 6.076 0.000
3.038 3.038 4.526
B Sn Al
2 2 4
direct
0.500 0.500 0.000
0.250 0.750 0.500
0.000 0.000 0.000
0.750 0.250 0.500
0.506 0.125 0.250
0.244 0.625 0.250
0.375 0.494 0.750
0.875 0.756 0.750
```

---

[2]
Material: Pa3Zn7Pt4
Method: DFT, PBE
State: optimized geometry

As for the energy of formation from the pure elements: -12.90 kcal/mol of atoms. Its density of states at the Fermi level is 13.4 states/eV per cell. The space-group type is C2/m.

POSCAR file:
```
Pa3Zn7Pt4
1.0
0.112 3.918 1.667
-1.069 -0.974 7.805
7.419 0.417 3.962
Pa Zn Pt
3 7 4
direct
0.295 0.200 0.210
0.705 0.800 0.790
0.000 0.500 0.500
0.328 0.836 0.509
0.492 0.195 0.821
0.853 0.366 0.928
0.672 0.164 0.491
0.147 0.634 0.072
0.000 0.000 0.000
0.508 0.805 0.179
0.653 0.454 0.239
0.347 0.546 0.761
0.883 0.904 0.331
0.117 0.096 0.669
```